No. 1
# Pr6NdEr

A relaxed structure of Pr6NdEr (PBE, Alexandria).

The structure belongs to space group Fmmm (No. 69); the cell edges are 7.399, 10.387 and 14.747 Å and the angles 90.00°, 90.00° and 90.00°. The asymmetric unit holds Pr at (0.000, 0.000, 0.249), Pr at (0.250, 0.250, 0.123), Nd at (0.000, 0.000, 0.500) and Er at (0.000, 0.000, 0.000).

As for the volume: 35.4 Å³/atom. The formation enthalpy at 0 K is 16 meV per atom.

***

No. 2
# PrNd3Er6

A relaxed structure of PrNd3Er6 (PBE, Alexandria).

The structure belongs to space group R3 (No. 146, hexagonal axes); the cell edges are 9.9167, 9.9167 and 11.6467 Å and the angles 90.00°, 90.00° and 120.00°. The asymmetric unit holds Pr at (0.0000, 0.0000, 0.0000), Nd at (0.0000, 0.0000, 0.2513), Nd at (0.0000, 0.0000, 0.5000), Nd at (0.0000, 0.0000, 0.7494), Er at (0.9998, 0.3274, 0.9982) and Er at (0.9998, 0.6731, 0.4982).

Its energy relative to the lowest polymorph listed for this composition is 0.087 eV/atom. As for the volume: 33.1 Å³/atom. The formation enthalpy at 0 K is 304 meV per atom.

***

No. 3
# PrNd7Er12

A relaxed structure of PrNd7Er12 (PBE, Alexandria).

The structure belongs to space group R-3 (No. 148, hexagonal axes); the cell edges are 11.9851, 11.9851 and 16.2224 Å and the angles 90.00°, 90.00° and 120.00°. The asymmetric unit holds Pr at (0.0000, 0.0000, 0.0000), Nd at (0.0000, 0.0000, 0.5000), Nd at (0.0514, 0.1886, 0.7907), Er at (0.0185, 0.4454, 0.7206) and Er at (0.0493, 0.5872, 0.0834).

Its energy relative to the lowest polymorph listed for this composition is 0.000 eV/atom. As for the volume: 33.6 Å³/atom. The formation enthalpy at 0 K is 230 meV per atom.